VASP calculation (PBE) on an optimized crystal structure of TbLuBeRh.

Cell lengths 4.8045, 4.8045, 4.8045 Å; angles 60.00, 60.00, 60.00 degrees
Sites, in units of the cell vectors:
Rh 0.0000 0.0000 0.0000
Lu 0.2500 0.2500 0.2500
Be 0.5000 0.5000 0.5000
Tb 0.7500 0.7500 0.7500

***

VASP calculation (PBE) on an optimized crystal structure of TmLuBeRh.

Cell lengths 4.7542, 4.7542, 4.7542 Å; angles 60.00, 60.00, 60.00 degrees
Sites, in units of the cell vectors:
Tm 0.7500 0.7500 0.7500
Rh 0.5000 0.5000 0.5000
Be 0.0000 0.0000 0.0000
Lu 0.2500 0.2500 0.2500

***

VASP calculation (PBE) on an optimized crystal structure of YLuBeRh.

Cell lengths 4.7999, 4.7999, 4.7999 Å; angles 60.00, 60.00, 60.00 degrees
Sites, in units of the cell vectors:
Y 0.7500 0.7500 0.7500
Rh 0.5000 0.5000 0.5000
Be 0.0000 0.0000 0.0000
Lu 0.2500 0.2500 0.2500

***

VASP calculation (PBE) on an optimized crystal structure of LuBe4Ru.

Cell lengths 4.6179, 4.6179, 4.6179 Å; angles 60.00, 60.00, 60.00 degrees
Sites, in units of the cell vectors:
Lu 0.2500 0.2500 0.2500
Be 0.6280 0.6280 0.6280
Be 0.6280 0.1160 0.6280
Be 0.6280 0.6280 0.1160
Be 0.1161 0.6280 0.6280
Ru 0.0000 0.0000 0.0000

***

In the order shown, the computed DFT formation energy values come out to -0.405; -0.448; -0.411; -0.265 eV/atom.